Record 1
This record from the Alexandria database describes RhC3N after structural relaxation. The functional is GGA-PBE.

Values from the calculation:
The uncorrected energy is -28.46 eV/cell.

Unit cell a=3.4469 b=3.4469 c=3.4469 alpha=90.00 beta=90.00 gamma=90.00
With the nearest neighbours (Å) after each atom.
Fractional coordinates of all 5 atoms:
Rh 0.0000 0.0000 0.0000  12 C 2.44
C 0.0000 0.5000 0.5000  2 N 1.72
C 0.5000 0.0000 0.5000  2 N 1.72
C 0.5000 0.5000 0.0000  2 N 1.72
N 0.5000 0.5000 0.5000  6 C 1.72

---

Record 2
This record from the Alexandria database describes RhC3N after structural relaxation. The functional is GGA-PBE.

Values from the calculation:
The uncorrected energy is -27.04 eV/cell.

Unit cell a=3.9168 b=3.9168 c=3.9168 alpha=90.00 beta=90.00 gamma=90.00
With the nearest neighbours (Å) after each atom.
Fractional coordinates of all 5 atoms:
Rh 0.0000 0.0000 0.0000  6 C 1.96
C 0.0000 0.0000 0.5000  2 Rh 1.96
C 0.0000 0.5000 0.0000  2 Rh 1.96
C 0.5000 0.0000 0.0000  2 Rh 1.96
N 0.5000 0.5000 0.5000  12 C 2.77

---

Record 3
This record from the Alexandria database describes RhCN2 after structural relaxation. The functional is GGA-PBE.

Values from the calculation:
The uncorrected energy is -31.42 eV/cell.

Unit cell a=5.0671 b=5.0671 c=5.0671 alpha=37.43 beta=37.43 gamma=37.43
With the nearest neighbours (Å) after each atom.
Fractional coordinates of all 4 atoms:
Rh 0.0000 0.0000 0.0000  6 N 2.18
C 0.5000 0.5000 0.5000  2 N 1.24
N 0.4119 0.4119 0.4119  1 C 1.24
N 0.5881 0.5881 0.5881  1 C 1.24

---

Record 4
This record from the Alexandria database describes Rh2C3N6 after structural relaxation. The functional is GGA-PBE.

Values from the calculation:
The uncorrected energy is -87.35 eV/cell.

Unit cell a=8.3779 b=8.3779 c=5.1532 alpha=100.26 beta=100.26 gamma=21.89
With the nearest neighbours (Å) after each atom.
Fractional coordinates of all 11 atoms:
Rh 0.1690 0.1690 0.3463  6 N 1.98-2.16
Rh 0.8310 0.8310 0.6537  6 N 1.98-2.16
C 0.0000 0.0000 0.5000  2 N 1.23
C 0.3255 0.3255 0.1527  2 N 1.21-1.27
C 0.6745 0.6745 0.8473  2 N 1.21-1.27
N 0.0487 0.0487 0.3451  1 C 1.23
N 0.3017 0.3017 0.3734  1 C 1.27
N 0.3409 0.3409 0.9318  1 C 1.21
N 0.6591 0.6591 0.0682  1 C 1.21
N 0.6983 0.6983 0.6266  1 C 1.27
N 0.9513 0.9513 0.6549  1 C 1.23

---

Record 5
This record from the Alexandria database describes RhCN2 after structural relaxation. The functional is GGA-PBE.

Values from the calculation:
The uncorrected energy is -59.71 eV/cell.

Unit cell a=4.6507 b=4.6507 c=4.6507 alpha=124.38 beta=124.38 gamma=82.56
With the nearest neighbours (Å) after each atom.
Fractional coordinates of all 8 atoms:
Rh 0.0000 0.0000 0.0000  4 N 2.08
Rh 0.7500 0.2500 0.5000  4 N 2.08
C 0.2500 0.7500 0.5000  4 N 1.52
C 0.5000 0.5000 0.0000  4 N 1.52
N 0.2321 0.6250 0.1071  2 C 1.52
N 0.3750 0.4821 0.6071  2 C 1.52
N 0.5179 0.1250 0.8929  2 C 1.52
N 0.8750 0.7679 0.3929  2 C 1.52

---

Record 6
This record from the Alexandria database describes RhC2N after structural relaxation. The functional is GGA-PBE.

Values from the calculation:
The uncorrected energy is -59.03 eV/cell.

Unit cell a=4.6325 b=4.6325 c=4.6325 alpha=122.89 beta=122.89 gamma=85.07
With the nearest neighbours (Å) after each atom.
Fractional coordinates of all 8 atoms:
Rh 0.0000 0.0000 0.0000  4 C 2.04
Rh 0.7500 0.2500 0.5000  4 C 2.04
C 0.2111 0.6250 0.0861  2 N 1.58
C 0.3750 0.4611 0.5861  2 N 1.58
C 0.5389 0.1250 0.9139  2 N 1.58
C 0.8750 0.7889 0.4139  2 N 1.58
N 0.2500 0.7500 0.5000  4 C 1.58
N 0.5000 0.5000 0.0000  4 C 1.58

---

Record 7
This record from the Alexandria database describes RhCSN2 after structural relaxation. The functional is GGA-PBE.

Values from the calculation:
The uncorrected energy is -26.83 eV/cell.

Unit cell a=3.5148 b=3.5148 c=3.7703 alpha=90.00 beta=90.00 gamma=90.00
With the nearest neighbours (Å) after each atom.
Fractional coordinates of all 5 atoms:
Rh 0.0000 0.0000 0.0000  4 S 2.49, 8 N 2.58
C 0.5000 0.5000 0.5000  4 N 1.76, 2 S 1.89
S 0.5000 0.5000 0.0000  2 C 1.89
N 0.0000 0.5000 0.5000  2 C 1.76
N 0.5000 0.0000 0.5000  2 C 1.76

---

Record 8
This record from the Alexandria database describes RhCSN2 after structural relaxation. The functional is GGA-PBE.

Values from the calculation:
The uncorrected energy is -26.04 eV/cell.

Unit cell a=3.6965 b=3.6965 c=5.2938 alpha=90.00 beta=90.00 gamma=90.00
With the nearest neighbours (Å) after each atom.
Fractional coordinates of all 5 atoms:
Rh 0.0000 0.0000 0.0000  4 N 1.85
C 0.5000 0.5000 0.5000  4 S 2.61
S 0.0000 0.0000 0.5000  4 C 2.61, 2 Rh 2.65
N 0.0000 0.5000 0.0000  2 Rh 1.85
N 0.5000 0.0000 0.0000  2 Rh 1.85

---

Record 9
This record from the Alexandria database describes RhCSeN2 after structural relaxation. The functional is GGA-PBE.

Values from the calculation:
The uncorrected energy is -26.15 eV/cell.

Unit cell a=3.6936 b=3.6936 c=5.5894 alpha=90.00 beta=90.00 gamma=90.00
With the nearest neighbours (Å) after each atom.
Fractional coordinates of all 5 atoms:
Rh 0.0000 0.0000 0.0000  4 N 1.85
C 0.5000 0.5000 0.5000  4 Se 2.61
Se 0.0000 0.0000 0.5000  4 C 2.61, 2 Rh 2.79
N 0.0000 0.5000 0.0000  2 Rh 1.85
N 0.5000 0.0000 0.0000  2 Rh 1.85

---

Record 10
This record from the Alexandria database describes RhCSeN2 after structural relaxation. The functional is GGA-PBE.

Values from the calculation:
The uncorrected energy is -25.65 eV/cell.

Unit cell a=3.5869 b=3.5869 c=4.1117 alpha=90.00 beta=90.00 gamma=90.00
With the nearest neighbours (Å) after each atom.
Fractional coordinates of all 5 atoms:
Rh 0.0000 0.0000 0.0000  4 Se 2.54, 8 N 2.73
C 0.5000 0.5000 0.5000  4 N 1.79
Se 0.5000 0.5000 0.0000  2 C 2.06
N 0.0000 0.5000 0.5000  2 C 1.79
N 0.5000 0.0000 0.5000  2 C 1.79

---

Record 11
This record from the Alexandria database describes Sm3RhC2N6 after structural relaxation. The functional is GGA-PBE.

Values from the calculation:
The uncorrected energy is -96.11 eV/cell.

Unit cell a=5.2590 b=5.2590 c=6.4690 alpha=90.00 beta=90.00 gamma=120.00
With the nearest neighbours (Å) after each atom.
Fractional coordinates of all 12 atoms:
Sm 0.0000 0.0000 0.0000  6 N 2.40
Sm 0.3333 0.6667 0.6715  1 C 2.60, 6 N 2.66
Sm 0.6667 0.3333 0.3285  1 C 2.60, 6 N 2.66
Rh 0.0000 0.0000 0.5000  6 N 2.25
C 0.3333 0.6667 0.2699  3 N 1.37
C 0.6667 0.3333 0.7301  3 N 1.37
N 0.1827 0.3654 0.2664  1 C 1.37
N 0.1827 0.8173 0.2664  1 C 1.37
N 0.3654 0.1827 0.7336  1 C 1.37
N 0.6346 0.8173 0.2664  1 C 1.37
N 0.8173 0.1827 0.7336  1 C 1.37
N 0.8173 0.6346 0.7336  1 C 1.37

---

Record 12
This record from the Alexandria database describes SmRhCN after structural relaxation. The functional is GGA-PBE.

Values from the calculation:
The uncorrected energy is -64.02 eV/cell.

Unit cell a=3.7406 b=3.7406 c=7.4299 alpha=90.00 beta=90.00 gamma=90.00
With the nearest neighbours (Å) after each atom.
Fractional coordinates of all 8 atoms:
Sm 0.2500 0.2500 0.1699  5 N 2.41-2.65
Sm 0.7500 0.7500 0.8301  5 N 2.41-2.65
Rh 0.2500 0.7500 0.5000  4 C 2.22
Rh 0.7500 0.2500 0.5000  4 C 2.22
C 0.2500 0.2500 0.6600  1 N 1.38
C 0.7500 0.7500 0.3400  1 N 1.38
N 0.2500 0.2500 0.8454  1 C 1.38
N 0.7500 0.7500 0.1546  1 C 1.38

---

Record 13
This record from the Alexandria database describes SrRhCN after structural relaxation. The functional is GGA-PBE.

Values from the calculation:
The uncorrected energy is -27.12 eV/cell.

Unit cell a=3.3472 b=4.4023 c=4.1307 alpha=90.00 beta=90.00 gamma=90.00
With the nearest neighbours (Å) after each atom.
Fractional coordinates of all 4 atoms:
Sr 0.0000 0.0000 0.0000  4 N 2.81, 4 C 2.89, 4 Rh 3.00-3.04
Rh 0.0000 0.5000 0.5068  2 C 2.09, 2 N 2.29
C 0.5000 0.5000 0.2025  1 N 1.31
N 0.5000 0.5000 0.8845  1 C 1.31

---

Record 14
This record from the Alexandria database describes Th6RhC3N2 after structural relaxation. The functional is GGA-PBE.

Values from the calculation:
The uncorrected energy is -105.03 eV/cell.

Unit cell a=8.5204 b=8.5204 c=7.7089 alpha=103.12 beta=103.12 gamma=25.52
With the nearest neighbours (Å) after each atom.
Fractional coordinates of all 12 atoms:
Th 0.9997 0.9997 0.2264  3 C 2.57-2.80, 1 N 2.78, 2 Rh 2.83
Th 0.0003 0.0003 0.7736  3 C 2.57-2.80, 1 N 2.78, 2 Rh 2.83
Th 0.3260 0.3260 0.4125  3 C 2.48-2.74, 2 N 2.72
Th 0.3294 0.3294 0.9184  3 N 2.54-2.64, 3 C 2.67-2.76
Th 0.6706 0.6706 0.0816  3 N 2.54-2.64, 3 C 2.67-2.76
Th 0.6740 0.6740 0.5875  3 C 2.48-2.74, 2 N 2.72
Rh 0.5000 0.5000 0.5000  6 Th 2.81-2.83
C 0.1728 0.1728 0.3283  5 Th 2.48-2.74
C 0.5000 0.5000 0.0000  6 Th 2.57-2.76
C 0.8272 0.8272 0.6717  5 Th 2.48-2.74
N 0.1721 0.1721 0.8418  6 Th 2.54-2.78
N 0.8279 0.8279 0.1582  6 Th 2.54-2.78

---

Record 15
This record from the Alexandria database describes RuC2N2 after structural relaxation. The functional is GGA-PBE.

Values from the calculation:
The uncorrected energy is -84.01 eV/cell.

Unit cell a=6.7166 b=6.7166 c=2.9082 alpha=90.00 beta=90.00 gamma=90.00
With the nearest neighbours (Å) after each atom.
Fractional coordinates of all 10 atoms:
Ru 0.0000 0.0000 0.0000  2 C 1.99, 4 N 2.14
Ru 0.5000 0.5000 0.5000  2 C 1.99, 4 N 2.14
C 0.2094 0.2094 0.0000  1 N 1.20
C 0.2906 0.7094 0.5000  1 N 1.20
C 0.7094 0.2906 0.5000  1 N 1.20
C 0.7906 0.7906 0.0000  1 N 1.20
N 0.1647 0.8353 0.5000  1 C 1.20
N 0.3353 0.3353 0.0000  1 C 1.20
N 0.6647 0.6647 0.0000  1 C 1.20
N 0.8353 0.1647 0.5000  1 C 1.20

---

Record 16
This record from the Alexandria database describes RuC8N6 after structural relaxation. The functional is GGA-PBE.

Values from the calculation:
The uncorrected energy is -126.83 eV/cell.

Unit cell a=7.3708 b=7.3708 c=5.7308 alpha=90.00 beta=90.00 gamma=120.00
With the nearest neighbours (Å) after each atom.
Fractional coordinates of all 15 atoms:
Ru 0.0000 0.0000 0.0000  6 N 2.02
C 0.2241 0.4482 0.7766  1 N 1.17
C 0.2241 0.7759 0.7766  1 N 1.17
C 0.3333 0.6667 0.7497  3 C 1.40
C 0.4482 0.2241 0.2234  1 N 1.17
C 0.5518 0.7759 0.7766  1 N 1.17
C 0.6667 0.3333 0.2503  3 C 1.40
C 0.7759 0.2241 0.2234  1 N 1.17
C 0.7759 0.5518 0.2234  1 N 1.17
N 0.1336 0.2673 0.8118  1 C 1.17
N 0.1336 0.8664 0.8118  1 C 1.17
N 0.2673 0.1336 0.1882  1 C 1.17
N 0.7327 0.8664 0.8118  1 C 1.17
N 0.8664 0.1336 0.1882  1 C 1.17
N 0.8664 0.7327 0.1882  1 C 1.17

---

Record 17
This record from the Alexandria database describes RuCN2 after structural relaxation. The functional is GGA-PBE.

Values from the calculation:
The uncorrected energy is -32.98 eV/cell.

Unit cell a=5.3936 b=5.3936 c=5.3936 alpha=32.27 beta=32.27 gamma=32.27
With the nearest neighbours (Å) after each atom.
Fractional coordinates of all 4 atoms:
Ru 0.0000 0.0000 0.0000  6 N 2.17
C 0.5000 0.5000 0.5000  2 N 1.24
N 0.4188 0.4188 0.4188  1 C 1.24
N 0.5812 0.5812 0.5812  1 C 1.24

---

Record 18
This record from the Alexandria database describes RuCN2 after structural relaxation. The functional is GGA-PBE.

Values from the calculation:
The uncorrected energy is -66.19 eV/cell.

Unit cell a=3.0359 b=3.0359 c=10.0722 alpha=90.00 beta=90.00 gamma=120.00
With the nearest neighbours (Å) after each atom.
Fractional coordinates of all 8 atoms:
Ru 0.0000 0.0000 0.0000  6 N 2.17
Ru 0.0000 0.0000 0.5000  6 N 2.17
C 0.3333 0.6667 0.2500  2 N 1.25
C 0.6667 0.3333 0.7500  2 N 1.25
N 0.3333 0.6667 0.1264  1 C 1.25
N 0.3333 0.6667 0.3736  1 C 1.25
N 0.6667 0.3333 0.6264  1 C 1.25
N 0.6667 0.3333 0.8736  1 C 1.25

---

Record 19
This record from the Alexandria database describes RuC8N6 after structural relaxation. The functional is GGA-PBE.

Values from the calculation:
The uncorrected energy is -253.75 eV/cell.

Unit cell a=7.2596 b=5.1838 c=10.4081 alpha=90.00 beta=90.00 gamma=90.00
With the nearest neighbours (Å) after each atom.
Fractional coordinates of all 30 atoms:
Ru 0.0000 0.0000 0.0000  6 N 2.01-2.03
Ru 0.5000 0.0000 0.5000  6 N 2.01-2.03
C 0.0000 0.3805 0.2421  1 N 1.17
C 0.0000 0.4281 0.6621  3 C 1.40-1.41
C 0.0000 0.5719 0.3379  3 C 1.40-1.41
C 0.0000 0.6195 0.7579  1 N 1.17
C 0.1634 0.3147 0.6173  1 N 1.17
C 0.1634 0.6853 0.3827  1 N 1.17
C 0.3366 0.3147 0.8827  1 N 1.17
C 0.3366 0.6853 0.1173  1 N 1.17
C 0.5000 0.3805 0.2579  1 N 1.17
C 0.5000 0.4281 0.8379  3 C 1.40-1.41
C 0.5000 0.5719 0.1621  3 C 1.40-1.41
C 0.5000 0.6195 0.7421  1 N 1.17
C 0.6634 0.3147 0.8827  1 N 1.17
C 0.6634 0.6853 0.1173  1 N 1.17
C 0.8366 0.3147 0.6173  1 N 1.17
C 0.8366 0.6853 0.3827  1 N 1.17
N 0.0000 0.2276 0.1590  1 C 1.17
N 0.0000 0.7724 0.8410  1 C 1.17
N 0.2061 0.2106 0.9239  1 C 1.17
N 0.2061 0.7894 0.0761  1 C 1.17
N 0.2939 0.2106 0.5761  1 C 1.17
N 0.2939 0.7894 0.4239  1 C 1.17
N 0.5000 0.2276 0.3410  1 C 1.17
N 0.5000 0.7724 0.6590  1 C 1.17
N 0.7061 0.2106 0.5761  1 C 1.17
N 0.7061 0.7894 0.4239  1 C 1.17
N 0.7939 0.2106 0.9239  1 C 1.17
N 0.7939 0.7894 0.0761  1 C 1.17

---

Record 20
This record from the Alexandria database describes RuC3N after structural relaxation. The functional is GGA-PBE.

Values from the calculation:
The uncorrected energy is -30.41 eV/cell.

Unit cell a=3.9633 b=3.9633 c=3.9633 alpha=90.00 beta=90.00 gamma=90.00
With the nearest neighbours (Å) after each atom.
Fractional coordinates of all 5 atoms:
Ru 0.0000 0.0000 0.0000  6 C 1.98
C 0.0000 0.0000 0.5000  2 Ru 1.98
C 0.0000 0.5000 0.0000  2 Ru 1.98
C 0.5000 0.0000 0.0000  2 Ru 1.98
N 0.5000 0.5000 0.5000  12 C 2.80